[1]
# Zr2TlZn GGA-PBE optimized geometry
data_Zr2TlZn
_chemical_formula_sum 'Zr4 Tl2 Zn2'
_space_group_name_H-M_alt 'P 1'
_space_group_IT_number 1
_space_group_name_Hall 'P 1'
_cell_length_a 6.199
_cell_length_b 8.527
_cell_length_c 3.160
_cell_angle_alpha 90.00
_cell_angle_beta 90.00
_cell_angle_gamma 90.00
loop_
_atom_site_label
_atom_site_fract_x
_atom_site_fract_y
_atom_site_fract_z
_atom_site_occupancy
Zr1 0.250 0.250 0.000 1
Zr2 0.250 0.750 0.000 1
Zr3 0.750 0.250 0.000 1
Zr4 0.750 0.750 0.000 1
Tl1 0.000 0.000 0.500 1
Tl2 0.500 0.500 0.500 1
Zn1 0.000 0.500 0.500 1
Zn2 0.500 0.000 0.500 1
# - Calculated formation energy: -133 meV/atom
# - D(E_F): 6.70 states/eV/cell

---

[2]
# Zr2TlZn GGA-PBE optimized geometry
data_Zr2TlZn
_chemical_formula_sum 'Zr2 Tl1 Zn1'
_space_group_name_H-M_alt 'P 1'
_space_group_IT_number 1
_space_group_name_Hall 'P 1'
_cell_length_a 3.160
_cell_length_b 4.165
_cell_length_c 6.325
_cell_angle_alpha 90.00
_cell_angle_beta 90.00
_cell_angle_gamma 90.00
loop_
_atom_site_label
_atom_site_fract_x
_atom_site_fract_y
_atom_site_fract_z
_atom_site_occupancy
Zr1 0.000 0.000 0.236 1
Zr2 0.000 0.000 0.764 1
Tl1 0.500 0.500 0.500 1
Zn1 0.500 0.500 0.000 1
# - Calculated formation energy: -145 meV/atom
# - D(E_F): 4.08 states/eV/cell

---

[3]
# Zr2TlZn GGA-PBE optimized geometry
data_Zr2TlZn
_chemical_formula_sum 'Zr2 Tl1 Zn1'
_space_group_name_H-M_alt 'P 1'
_space_group_IT_number 1
_space_group_name_Hall 'P 1'
_cell_length_a 3.193
_cell_length_b 5.069
_cell_length_c 5.198
_cell_angle_alpha 90.00
_cell_angle_beta 91.56
_cell_angle_gamma 90.00
loop_
_atom_site_label
_atom_site_fract_x
_atom_site_fract_y
_atom_site_fract_z
_atom_site_occupancy
Zr1 0.000 0.000 0.000 1
Zr2 0.069 0.500 0.614 1
Tl1 0.540 0.500 0.123 1
Zn1 0.527 0.000 0.516 1
# - Calculated formation energy: -75 meV/atom
# - D(E_F): 1.97 states/eV/cell

---

[4]
# Zr2TlZn GGA-PBE optimized geometry
data_Zr2TlZn
_chemical_formula_sum 'Zr2 Tl1 Zn1'
_space_group_name_H-M_alt 'P 1'
_space_group_IT_number 1
_space_group_name_Hall 'P 1'
_cell_length_a 3.332
_cell_length_b 4.213
_cell_length_c 6.222
_cell_angle_alpha 90.00
_cell_angle_beta 90.00
_cell_angle_gamma 90.00
loop_
_atom_site_label
_atom_site_fract_x
_atom_site_fract_y
_atom_site_fract_z
_atom_site_occupancy
Zr1 0.000 0.000 0.000 1
Zr2 0.500 0.500 0.255 1
Tl1 0.000 0.000 0.518 1
Zn1 0.500 0.500 0.786 1
# - Calculated formation energy: -6 meV/atom
# - D(E_F): 2.34 states/eV/cell

---

[5]
# Zr2TlZn GGA-PBE optimized geometry
data_Zr2TlZn
_chemical_formula_sum 'Zr4 Tl2 Zn2'
_space_group_name_H-M_alt 'P 1'
_space_group_IT_number 1
_space_group_name_Hall 'P 1'
_cell_length_a 4.435
_cell_length_b 4.444
_cell_length_c 8.863
_cell_angle_alpha 90.00
_cell_angle_beta 90.00
_cell_angle_gamma 90.00
loop_
_atom_site_label
_atom_site_fract_x
_atom_site_fract_y
_atom_site_fract_z
_atom_site_occupancy
Zr1 0.000 0.000 0.000 1
Zr2 0.000 0.500 0.258 1
Zr3 0.500 0.000 0.258 1
Zr4 0.500 0.500 0.000 1
Tl1 0.000 0.000 0.535 1
Tl2 0.500 0.500 0.535 1
Zn1 0.000 0.500 0.774 1
Zn2 0.500 0.000 0.774 1
# - Calculated formation energy: -15 meV/atom
# - D(E_F): 5.80 states/eV/cell

---

[6]
# Zr2TlZn GGA-PBE optimized geometry
data_Zr2TlZn
_chemical_formula_sum 'Zr2 Tl1 Zn1'
_space_group_name_H-M_alt 'P 1'
_space_group_IT_number 1
_space_group_name_Hall 'P 1'
_cell_length_a 3.118
_cell_length_b 3.118
_cell_length_c 8.564
_cell_angle_alpha 90.00
_cell_angle_beta 90.00
_cell_angle_gamma 90.00
loop_
_atom_site_label
_atom_site_fract_x
_atom_site_fract_y
_atom_site_fract_z
_atom_site_occupancy
Zr1 0.000 0.000 0.222 1
Zr2 0.000 0.000 0.778 1
Tl1 0.500 0.500 0.500 1
Zn1 0.500 0.500 0.000 1
# - Calculated formation energy: -146 meV/atom
# - D(E_F): 4.97 states/eV/cell

---

[7]
# ZrTlZn GGA-PBE optimized geometry
data_ZrTlZn
_chemical_formula_sum 'Zr4 Tl4 Zn4'
_space_group_name_H-M_alt 'P 1'
_space_group_IT_number 1
_space_group_name_Hall 'P 1'
_cell_length_a 6.423
_cell_length_b 6.423
_cell_length_c 6.423
_cell_angle_alpha 90.00
_cell_angle_beta 90.00
_cell_angle_gamma 90.00
loop_
_atom_site_label
_atom_site_fract_x
_atom_site_fract_y
_atom_site_fract_z
_atom_site_occupancy
Zr1 0.000 0.000 0.000 1
Zr2 0.000 0.500 0.500 1
Zr3 0.500 0.000 0.500 1
Zr4 0.500 0.500 0.000 1
Tl1 0.000 0.000 0.500 1
Tl2 0.000 0.500 0.000 1
Tl3 0.500 0.000 0.000 1
Tl4 0.500 0.500 0.500 1
Zn1 0.250 0.250 0.750 1
Zn2 0.250 0.750 0.250 1
Zn3 0.750 0.250 0.250 1
Zn4 0.750 0.750 0.750 1
# - Calculated formation energy: 134 meV/atom
# - D(E_F): 7.21 states/eV/cell
# - Energy above the lowest structure with this stoichiometry: 167.2 meV/atom

---

[8]
# ZrTl2Zn GGA-PBE optimized geometry
data_ZrTl2Zn
_chemical_formula_sum 'Zr2 Tl4 Zn2'
_space_group_name_H-M_alt 'P 1'
_space_group_IT_number 1
_space_group_name_Hall 'P 1'
_cell_length_a 3.327
_cell_length_b 5.795
_cell_length_c 9.850
_cell_angle_alpha 90.00
_cell_angle_beta 90.00
_cell_angle_gamma 90.00
loop_
_atom_site_label
_atom_site_fract_x
_atom_site_fract_y
_atom_site_fract_z
_atom_site_occupancy
Zr1 0.000 0.000 0.000 1
Zr2 0.500 0.500 0.000 1
Tl1 0.000 0.500 0.263 1
Tl2 0.000 0.500 0.737 1
Tl3 0.500 0.000 0.263 1
Tl4 0.500 0.000 0.737 1
Zn1 0.000 0.000 0.500 1
Zn2 0.500 0.500 0.500 1
# - Calculated formation energy: 186 meV/atom
# - D(E_F): 5.34 states/eV/cell
# - Energy above the lowest structure with this stoichiometry: 184.1 meV/atom

---

[9]
# Zr2TlZn GGA-PBE optimized geometry
data_Zr2TlZn
_chemical_formula_sum 'Zr6 Tl3 Zn3'
_space_group_name_H-M_alt 'P 1'
_space_group_IT_number 1
_space_group_name_Hall 'P 1'
_cell_length_a 4.143
_cell_length_b 4.143
_cell_length_c 19.294
_cell_angle_alpha 90.00
_cell_angle_beta 90.00
_cell_angle_gamma 120.00
loop_
_atom_site_label
_atom_site_fract_x
_atom_site_fract_y
_atom_site_fract_z
_atom_site_occupancy
Zr1 0.000 0.000 0.000 1
Zr2 0.000 0.000 0.203 1
Zr3 0.333 0.667 0.667 1
Zr4 0.333 0.667 0.870 1
Zr5 0.667 0.333 0.333 1
Zr6 0.667 0.333 0.537 1
Tl1 0.000 0.000 0.770 1
Tl2 0.333 0.667 0.436 1
Tl3 0.667 0.333 0.103 1
Zn1 0.000 0.000 0.605 1
Zn2 0.333 0.667 0.272 1
Zn3 0.667 0.333 0.938 1
# - Calculated formation energy: 195 meV/atom
# - D(E_F): 10.98 states/eV/cell

---

[10]
# Zr3TlZn2 GGA-PBE optimized geometry
data_Zr3TlZn2
_chemical_formula_sum 'Zr3 Tl1 Zn2'
_space_group_name_H-M_alt 'P 1'
_space_group_IT_number 1
_space_group_name_Hall 'P 1'
_cell_length_a 3.125
_cell_length_b 3.125
_cell_length_c 12.364
_cell_angle_alpha 90.00
_cell_angle_beta 90.00
_cell_angle_gamma 90.00
loop_
_atom_site_label
_atom_site_fract_x
_atom_site_fract_y
_atom_site_fract_z
_atom_site_occupancy
Zr1 0.000 0.000 0.000 1
Zr2 0.000 0.000 0.307 1
Zr3 0.000 0.000 0.693 1
Tl1 0.500 0.500 0.500 1
Zn1 0.500 0.500 0.156 1
Zn2 0.500 0.500 0.844 1
# - Calculated formation energy: -186 meV/atom
# - D(E_F): 5.72 states/eV/cell

---

[11]
# ZrTlZn GGA-PBE optimized geometry
data_ZrTlZn
_chemical_formula_sum 'Zr4 Tl4 Zn4'
_space_group_name_H-M_alt 'P 1'
_space_group_IT_number 1
_space_group_name_Hall 'P 1'
_cell_length_a 3.411
_cell_length_b 5.400
_cell_length_c 14.363
_cell_angle_alpha 90.00
_cell_angle_beta 90.00
_cell_angle_gamma 90.00
loop_
_atom_site_label
_atom_site_fract_x
_atom_site_fract_y
_atom_site_fract_z
_atom_site_occupancy
Zr1 0.000 0.000 0.000 1
Zr2 0.000 0.500 0.500 1
Zr3 0.500 0.000 0.500 1
Zr4 0.500 0.500 0.000 1
Tl1 0.000 0.000 0.681 1
Tl2 0.000 0.500 0.181 1
Tl3 0.500 0.000 0.181 1
Tl4 0.500 0.500 0.681 1
Zn1 0.000 0.000 0.342 1
Zn2 0.000 0.500 0.842 1
Zn3 0.500 0.000 0.842 1
Zn4 0.500 0.500 0.342 1
# - Calculated formation energy: 94 meV/atom
# - D(E_F): 7.95 states/eV/cell
# - Energy above the lowest structure with this stoichiometry: 127.1 meV/atom

---

[12]
# Zr2TlZn GGA-PBE optimized geometry
data_Zr2TlZn
_chemical_formula_sum 'Zr8 Tl4 Zn4'
_space_group_name_H-M_alt 'P 1'
_space_group_IT_number 1
_space_group_name_Hall 'P 1'
_cell_length_a 7.816
_cell_length_b 7.816
_cell_length_c 5.858
_cell_angle_alpha 90.00
_cell_angle_beta 90.00
_cell_angle_gamma 90.00
loop_
_atom_site_label
_atom_site_fract_x
_atom_site_fract_y
_atom_site_fract_z
_atom_site_occupancy
Zr1 0.235 0.250 0.125 1
Zr2 0.250 0.735 0.375 1
Zr3 0.250 0.765 0.875 1
Zr4 0.265 0.250 0.625 1
Zr5 0.735 0.750 0.625 1
Zr6 0.750 0.235 0.875 1
Zr7 0.750 0.265 0.375 1
Zr8 0.765 0.750 0.125 1
Tl1 0.000 0.000 0.500 1
Tl2 0.000 0.500 0.750 1
Tl3 0.500 0.000 0.250 1
Tl4 0.500 0.500 0.000 1
Zn1 0.000 0.000 0.000 1
Zn2 0.000 0.500 0.250 1
Zn3 0.500 0.000 0.750 1
Zn4 0.500 0.500 0.500 1
# - Calculated formation energy: 161 meV/atom
# - D(E_F): 10.59 states/eV/cell